[1]
# TePb2I GGA-PBE optimized geometry
data_TePb2I
_cell_length_a 4.294
_cell_length_b 4.294
_cell_length_c 27.378
_cell_angle_alpha 90.00
_cell_angle_beta 90.00
_cell_angle_gamma 120.00
_symmetry_space_group_name_H-M 'P 1'
_symmetry_Int_Tables_number 1
_symmetry_space_group_name_Hall 'P 1'
loop_
_atom_site_label
_atom_site_fract_x
_atom_site_fract_y
_atom_site_fract_z
Te1 0.000 0.000 0.000
Te2 0.333 0.667 0.667
Te3 0.667 0.333 0.333
Pb1 0.000 0.000 0.411
Pb2 0.000 0.000 0.592
Pb3 0.333 0.667 0.078
Pb4 0.333 0.667 0.259
Pb5 0.667 0.333 0.744
Pb6 0.667 0.333 0.925
I1 0.000 0.000 0.169
I2 0.333 0.667 0.836
I3 0.667 0.333 0.503
# E above lowest polymorph, meV/atom: 14.5
# Formation energy from raw total energies, eV/atom: -0.288
# Volume, Å³/atom: 36.43
# Symmetry: R3m (160)


[2]
# Te3Pb4I2 GGA-PBE optimized geometry
data_Te3Pb4I2
_cell_length_a 8.074
_cell_length_b 8.074
_cell_length_c 11.379
_cell_angle_alpha 117.73
_cell_angle_beta 117.73
_cell_angle_gamma 33.33
_symmetry_space_group_name_H-M 'P 1'
_symmetry_Int_Tables_number 1
_symmetry_space_group_name_Hall 'P 1'
loop_
_atom_site_label
_atom_site_fract_x
_atom_site_fract_y
_atom_site_fract_z
Te1 0.000 0.000 0.000
Te2 0.203 0.203 0.802
Te3 0.797 0.797 0.198
Pb1 0.199 0.199 0.290
Pb2 0.389 0.389 0.086
Pb3 0.611 0.611 0.914
Pb4 0.801 0.801 0.710
I1 0.397 0.397 0.595
I2 0.603 0.603 0.405
# Formation energy from raw total energies, eV/atom: -0.472
# Volume, Å³/atom: 39.59
# Symmetry: C2/m (12)


[3]
# Te2PbI GGA-PBE optimized geometry
data_Te2PbI
_cell_length_a 7.960
_cell_length_b 7.960
_cell_length_c 7.960
_cell_angle_alpha 90.00
_cell_angle_beta 90.00
_cell_angle_gamma 90.00
_symmetry_space_group_name_H-M 'P 1'
_symmetry_Int_Tables_number 1
_symmetry_space_group_name_Hall 'P 1'
loop_
_atom_site_label
_atom_site_fract_x
_atom_site_fract_y
_atom_site_fract_z
Te1 0.250 0.250 0.250
Te2 0.250 0.250 0.750
Te3 0.250 0.750 0.250
Te4 0.250 0.750 0.750
Te5 0.750 0.250 0.250
Te6 0.750 0.250 0.750
Te7 0.750 0.750 0.250
Te8 0.750 0.750 0.750
Pb1 0.000 0.000 0.000
Pb2 0.000 0.500 0.500
Pb3 0.500 0.000 0.500
Pb4 0.500 0.500 0.000
I1 0.000 0.000 0.500
I2 0.000 0.500 0.000
I3 0.500 0.000 0.000
I4 0.500 0.500 0.500
# E above lowest polymorph, meV/atom: 252.7
# Formation energy from raw total energies, eV/atom: 0.214
# Volume, Å³/atom: 31.52
# Symmetry: Fm-3m (225)


[4]
# TePb2I GGA-PBE optimized geometry
data_TePb2I
_cell_length_a 10.036
_cell_length_b 10.036
_cell_length_c 7.629
_cell_angle_alpha 104.86
_cell_angle_beta 104.86
_cell_angle_gamma 117.88
_symmetry_space_group_name_H-M 'P 1'
_symmetry_Int_Tables_number 1
_symmetry_space_group_name_Hall 'P 1'
loop_
_atom_site_label
_atom_site_fract_x
_atom_site_fract_y
_atom_site_fract_z
Te1 0.061 0.939 0.750
Te2 0.314 0.686 0.750
Te3 0.686 0.314 0.250
Te4 0.939 0.061 0.250
Pb1 0.050 0.426 0.284
Pb2 0.175 0.306 0.724
Pb3 0.306 0.175 0.224
Pb4 0.426 0.050 0.784
Pb5 0.574 0.950 0.216
Pb6 0.694 0.825 0.776
Pb7 0.825 0.694 0.276
Pb8 0.950 0.574 0.716
I1 0.187 0.813 0.250
I2 0.440 0.560 0.250
I3 0.560 0.440 0.750
I4 0.813 0.187 0.750
# E above lowest polymorph, meV/atom: 0.0
# Formation energy from raw total energies, eV/atom: -0.302
# Volume, Å³/atom: 36.83
# Symmetry: C2/c (15)


[5]
# Te2Pb3I2 GGA-PBE optimized geometry
data_Te2Pb3I2
_cell_length_a 15.351
_cell_length_b 4.641
_cell_length_c 8.257
_cell_angle_alpha 90.00
_cell_angle_beta 100.41
_cell_angle_gamma 90.00
_symmetry_space_group_name_H-M 'P 1'
_symmetry_Int_Tables_number 1
_symmetry_space_group_name_Hall 'P 1'
loop_
_atom_site_label
_atom_site_fract_x
_atom_site_fract_y
_atom_site_fract_z
Te1 0.125 0.000 0.383
Te2 0.375 0.500 0.617
Te3 0.625 0.500 0.383
Te4 0.875 0.000 0.617
Pb1 0.000 0.500 0.500
Pb2 0.249 0.000 0.724
Pb3 0.251 0.500 0.276
Pb4 0.500 0.000 0.500
Pb5 0.749 0.500 0.724
Pb6 0.751 0.000 0.276
I1 0.124 0.500 0.865
I2 0.376 0.000 0.135
I3 0.624 0.000 0.865
I4 0.876 0.500 0.135
# Formation energy from raw total energies, eV/atom: -0.491
# Volume, Å³/atom: 41.33
# Symmetry: C2/m (12)


[6]
# Te2PbI GGA-PBE optimized geometry
data_Te2PbI
_cell_length_a 3.335
_cell_length_b 3.335
_cell_length_c 44.692
_cell_angle_alpha 90.00
_cell_angle_beta 90.00
_cell_angle_gamma 120.00
_symmetry_space_group_name_H-M 'P 1'
_symmetry_Int_Tables_number 1
_symmetry_space_group_name_Hall 'P 1'
loop_
_atom_site_label
_atom_site_fract_x
_atom_site_fract_y
_atom_site_fract_z
Te1 0.000 0.000 0.073
Te2 0.000 0.000 0.927
Te3 0.333 0.667 0.594
Te4 0.333 0.667 0.739
Te5 0.667 0.333 0.261
Te6 0.667 0.333 0.406
Pb1 0.000 0.000 0.000
Pb2 0.333 0.667 0.667
Pb3 0.667 0.333 0.333
I1 0.000 0.000 0.500
I2 0.333 0.667 0.167
I3 0.667 0.333 0.833
# E above lowest polymorph, meV/atom: 213.3
# Formation energy from raw total energies, eV/atom: 0.175
# Volume, Å³/atom: 35.86
# Symmetry: R-3m (166)